Density functional theory data (PBE+U) for a geometry-optimized K3NaCr2O8 structure.

## Properties
energy above the most stable polymorph in this dataset: 0 meV/atom
E: -331.1 eV per cell

a b c (Å): 10.327 5.938 15.299
angles (deg): 90.00 90.24 90.00
Space group C2/c (No. 15)
Asymmetric unit:
1 K 0.000 0.057 0.250 [4 per cell]
2 K 0.171 0.479 0.590 [8 per cell]
3 Na 0.000 0.000 0.000 [4 per cell]
4 Cr 0.162 0.482 0.866 [8 per cell]
5 O 0.084 0.313 0.420 [8 per cell]
6 O 0.085 0.238 0.883 [8 per cell]
7 O 0.168 0.454 0.262 [8 per cell]
8 O 0.188 0.036 0.092 [8 per cell]